No. 1
Density functional theory data (PBE-GGA) for a relaxed structure of MnPd3Br.

Cell and atoms, written as extended XYZ:
```
5
Lattice="4.629 0.000 0.000 0.000 4.629 0.000 0.000 0.000 4.629" Properties=species:S:1:pos:R:3 pbc="T T T"
Mn 0.000 0.000 0.000
Br 2.315 2.315 2.315
Pd 0.000 2.315 0.000
Pd 0.000 0.000 2.315
Pd 2.315 0.000 0.000
```

Values from the calculation:
* ρ: 7.600 Mg/m³
* polymorph energy (0 for the lowest one): 195 meV per atom
* N(E_F): 1.34 states/eV per atom
* raw formation energy: 900 meV/atom
* uncorrected energy: -4.384 eV/atom


No. 2
Density functional theory data (PBE-GGA) for a relaxed structure of BaMgMo2Rh.

Cell and atoms, written as extended XYZ:
```
5
Lattice="5.019 0.000 0.000 0.000 4.800 0.000 0.000 0.000 5.019" Properties=species:S:1:pos:R:3 pbc="T T T"
Mg 0.000 0.000 0.000
Mo 0.000 0.000 2.510
Mo 2.510 0.000 0.000
Rh 0.000 2.400 0.000
Ba 2.510 2.400 2.510
```

Values from the calculation:
* ρ: 6.268 Mg/m³
* N(E_F): 1.06 states/eV per atom
* uncorrected energy: -5.009 eV/atom


Number 1: magnetization 0.00 μB/f.u.. Number 2: magnetization 5.62 μB/f.u..